# 1
Compound: Ba2NaOsS
Source: Alexandria
Functional: PBE-GGA
Structure: relaxed

Output
DFT total energy in eV per cell: -19.633
ΔE_f (raw) in kJ/mol of formula units: 86
DOS at the Fermi energy in states/eV/cell: 3.899
M_tot in Bohr magnetons per cell: 1.3

Lattice parameters (Å, degrees): 6.0021 6.0021 4.9612 90.00 90.00 90.00
Space group P4/mmm (No. 123)
Symmetry-distinct sites (fractional):
Ba 0.0000 0.5000 0.0000 x2
Na 0.0000 0.0000 0.5000 x1
Os 0.5000 0.5000 0.5000 x1
S 0.0000 0.0000 0.0000 x1


# 2
Compound: SbPS
Source: Alexandria
Functional: PBE-GGA
Structure: relaxed

Output
DFT total energy in eV per cell: -26.877
E above lowest polymorph in eV per formula unit: 0.32
ΔE_f (raw) in kJ/mol of formula units: 21
DOS at the Fermi energy in states/eV/cell: 0.550
M_tot in Bohr magnetons per cell: 0.0

Lattice parameters (Å, degrees): 7.1373 4.0632 5.8147 90.00 114.15 90.00
Space group Cm (No. 8)
Symmetry-distinct sites (fractional):
Sb 0.0000 0.0000 0.0000 x2
P 0.0801 0.5000 0.7434 x2
S 0.4385 0.0000 0.3542 x2


# 3
Compound: Ce5Ag2Au12
Source: Alexandria
Functional: PBE-GGA
Structure: relaxed

Output
DFT total energy in eV per cell: -167.188
Calculated formation energy in eV per formula unit: -8.9
DOS at the Fermi energy in states/eV/cell: 73.239
M_tot in Bohr magnetons per cell: 9.5

Lattice parameters (Å, degrees): 15.6919 7.4827 7.2620 90.00 92.94 90.00
Space group C2/m (No. 12)
Symmetry-distinct sites (fractional):
Ce 0.0000 0.0000 0.0000 x2
Ce 0.1891 0.5000 0.5394 x4
Ce 0.2467 0.0000 0.9289 x4
Ag 0.0000 0.2860 0.5000 x4
Au 0.0526 0.5000 0.1893 x4
Au 0.1080 0.3007 0.8516 x8
Au 0.1181 0.0000 0.5959 x4
Au 0.1561 0.1895 0.2527 x8


Repeat the first record exactly.
Compound: Ba2NaOsS
Source: Alexandria
Functional: PBE-GGA
Structure: relaxed

Output
DFT total energy in eV per cell: -19.633
ΔE_f (raw) in kJ/mol of formula units: 86
DOS at the Fermi energy in states/eV/cell: 3.899
M_tot in Bohr magnetons per cell: 1.3

Lattice parameters (Å, degrees): 6.0021 6.0021 4.9612 90.00 90.00 90.00
Space group P4/mmm (No. 123)
Symmetry-distinct sites (fractional):
Ba 0.0000 0.5000 0.0000 x2
Na 0.0000 0.0000 0.5000 x1
Os 0.5000 0.5000 0.5000 x1
S 0.0000 0.0000 0.0000 x1


Among the records above, which one has the highest DFT total energy?
Ba2NaOsS